# Ac3CoO7

A relaxed Ac3CoO7 crystal (PBE with a Hubbard U, the Alexandria database).

Computed properties:
final energy: -7.184 eV/atom
total magnetization: 2.280 μB per formula unit

abc: 6.9684 6.9684 7.8269
angles: 90.00 90.00 115.99
Closest atoms and distances in Å follow each position.
Positions (direct):
Ac1 0.1475 0.5565 0.7500  5 O 2.40-2.52
Ac2 0.0000 0.0000 0.0000  8 O 2.51-2.80
Ac3 0.0000 0.0000 0.5000  8 O 2.51-2.80
Ac4 0.4435 0.8525 0.2500  5 O 2.40-2.52
Ac5 0.5565 0.1475 0.7500  5 O 2.40-2.52
Ac6 0.8525 0.4435 0.2500  5 O 2.40-2.52
Co1 0.5000 0.5000 0.0000  6 O 1.89-2.04
Co2 0.5000 0.5000 0.5000  6 O 1.89-2.04
O1 0.0875 0.8258 0.2500  4 Ac 2.40-2.51
O2 0.1742 0.9125 0.7500  4 Ac 2.40-2.51
O3 0.2130 0.4441 0.4587  1 Co 1.89
O4 0.2130 0.4441 0.0413  1 Co 1.89
O5 0.5559 0.7870 0.9587  1 Co 1.89
O6 0.5559 0.7869 0.5413  1 Co 1.89
O7 0.4229 0.4229 0.7500  2 Co 2.04
O8 0.5771 0.5771 0.2500  2 Co 2.04
O9 0.4441 0.2131 0.0413  1 Co 1.89
O10 0.4441 0.2130 0.4587  1 Co 1.89
O11 0.7870 0.5559 0.9587  1 Co 1.89
O12 0.7870 0.5559 0.5413  1 Co 1.89
O13 0.8258 0.0875 0.2500  4 Ac 2.40-2.51
O14 0.9125 0.1742 0.7500  4 Ac 2.40-2.51